Compound: NaAcMg
Source: the Alexandria database
Functional: PBE
Structure: optimized geometry

Cell and atoms, written as extended XYZ:
```
3
Lattice="3.766 0.000 0.000 -1.883 3.262 0.000 0.000 0.000 8.897" Properties=species:S:1:pos:R:3 pbc="T T T"
Na 0.000 0.000 0.000
Ac 0.000 2.175 5.529
Mg 1.883 1.087 2.727
```

M_tot = 0.000 μB per cell
symmetry = No. 156
calculated formation energy = 0.14 eV per atom
excess energy over the best structure of this formula in the dataset = 42 meV/atom

---

Compound: FeTcAg2
Source: the Alexandria database
Functional: PBE
Structure: optimized geometry

Cell and atoms, written as extended XYZ:
```
4
Lattice="-1.425 2.394 4.665 1.425 -2.394 4.665 1.425 2.394 -4.665" Properties=species:S:1:pos:R:3 pbc="T T T"
Fe 0.000 0.000 0.000
Tc 1.425 0.000 1.908
Ag 0.000 0.000 4.470
Ag 0.000 2.394 2.352
```

M_tot = 2.935 μB per cell
symmetry = No. 44
calculated formation energy = 0.57 eV per atom
excess energy over the best structure of this formula in the dataset = 267 meV/atom

---

Compound: KNa2Pu2O7
Source: the Alexandria database
Functional: PBE
Structure: optimized geometry

Cell and atoms, written as extended XYZ:
```
12
Lattice="-2.145 2.146 9.878 2.145 -2.146 9.878 2.145 2.146 -9.878" Properties=species:S:1:pos:R:3 pbc="T T T"
K 0.000 0.000 0.000
Na 2.145 0.000 4.934
Na 0.000 2.146 4.944
Pu 0.000 0.000 7.762
Pu 0.000 0.000 11.994
O 2.145 0.000 2.088
O 0.000 0.000 5.772
O 2.145 0.000 7.792
O 0.000 0.000 9.878
O 0.000 2.146 2.086
O 0.000 0.000 13.984
O 0.000 2.146 7.790
```

M_tot = 5.000 μB per cell
total energy = -7.9689 eV per atom
symmetry = No. 71

---

Compound: CrHSCl2
Source: the Alexandria database
Functional: PBE
Structure: optimized geometry

Cell and atoms, written as extended XYZ:
```
5
Lattice="4.885 0.000 0.000 0.000 4.885 0.000 0.000 0.000 3.197" Properties=species:S:1:pos:R:3 pbc="T T T"
Cr 0.000 0.000 0.000
H 2.442 2.442 1.598
S 2.442 2.442 0.000
Cl 0.000 2.442 1.598
Cl 2.442 0.000 1.598
```

M_tot = 0.786 μB per cell
symmetry = No. 123
excess energy over the best structure of this formula in the dataset = 763 meV/atom

---

Compound: SrTl2CdTe
Source: the Alexandria database
Functional: PBE
Structure: optimized geometry

Cell and atoms, written as extended XYZ:
```
5
Lattice="6.539 0.000 0.000 0.000 6.539 0.000 0.000 0.000 6.032" Properties=species:S:1:pos:R:3 pbc="T T T"
Sr 0.000 0.000 0.000
Tl 0.000 3.270 0.000
Tl 3.270 0.000 0.000
Cd 3.270 3.270 3.016
Te 0.000 0.000 3.016
```

M_tot = 0.000 μB per cell
total energy = -1.9367 eV per atom
symmetry = No. 123

---

Compound: Ac6S8I
Source: the Alexandria database
Functional: PBE
Structure: optimized geometry

Cell and atoms, written as extended XYZ:
```
15
Lattice="4.246 2.452 7.392 -4.246 2.452 7.392 0.000 -4.903 7.392" Properties=species:S:1:pos:R:3 pbc="T T T"
Ac -1.494 -2.231 9.272
Ac -2.680 0.178 12.903
Ac -1.185 2.410 9.272
Ac 1.185 -2.410 12.903
Ac 2.680 -0.178 9.272
Ac 1.494 2.231 12.903
S -2.942 0.168 9.951
S -1.616 -2.464 12.224
S 0.000 0.000 7.361
S 1.326 -2.632 9.951
S -1.326 2.632 12.224
S 0.000 0.000 14.814
S 1.616 2.464 9.951
S 2.942 -0.168 12.224
I 0.000 0.000 0.000
```

M_tot = 0.775 μB per cell
total energy = -5.9749 eV per atom
symmetry = No. 148